Record 1
{
  "formula": "Nb4Si23",
  "functional": "PBE",
  "state": "optimized geometry",
  "cell": [[10.0360, 0.0000, 0.0000], [0.0000, 10.0360, 0.0000], [0.0000, 0.0000, 10.0360]],
  "species": ["Nb", "Nb", "Nb", "Nb", "Nb", "Nb", "Nb", "Nb", "Si", "Si", "Si", "Si", "Si", "Si", "Si", "Si", "Si", "Si", "Si", "Si", "Si", "Si", "Si", "Si", "Si", "Si", "Si", "Si", "Si", "Si", "Si", "Si", "Si", "Si", "Si", "Si", "Si", "Si", "Si", "Si", "Si", "Si", "Si", "Si", "Si", "Si", "Si", "Si", "Si", "Si", "Si", "Si", "Si", "Si"],
  "frac_coords": [[0.0000, 0.0000, 0.0000], [0.0000, 0.2500, 0.5000], [0.0000, 0.7500, 0.5000], [0.2500, 0.5000, 0.0000], [0.5000, 0.0000, 0.2500], [0.5000, 0.0000, 0.7500], [0.5000, 0.5000, 0.5000], [0.7500, 0.5000, 0.0000], [0.0000, 0.3110, 0.1154], [0.0000, 0.3110, 0.8846], [0.0000, 0.5000, 0.2500], [0.0000, 0.5000, 0.7500], [0.0000, 0.6890, 0.1154], [0.0000, 0.6890, 0.8846], [0.1154, 0.0000, 0.3110], [0.1154, 0.0000, 0.6890], [0.1823, 0.1823, 0.1823], [0.1823, 0.1823, 0.8177], [0.1823, 0.8177, 0.1823], [0.1823, 0.8177, 0.8177], [0.1890, 0.5000, 0.3846], [0.1890, 0.5000, 0.6154], [0.2500, 0.0000, 0.5000], [0.3110, 0.1154, 0.0000], [0.3110, 0.8846, 0.0000], [0.3177, 0.3177, 0.3177], [0.3177, 0.3177, 0.6823], [0.3177, 0.6823, 0.3177], [0.3177, 0.6823, 0.6823], [0.3846, 0.1890, 0.5000], [0.3846, 0.8110, 0.5000], [0.5000, 0.2500, 0.0000], [0.5000, 0.3846, 0.1890], [0.5000, 0.3846, 0.8110], [0.5000, 0.6154, 0.1890], [0.5000, 0.6154, 0.8110], [0.5000, 0.7500, 0.0000], [0.6154, 0.1890, 0.5000], [0.6154, 0.8110, 0.5000], [0.6823, 0.3177, 0.3177], [0.6823, 0.3177, 0.6823], [0.6823, 0.6823, 0.3177], [0.6823, 0.6823, 0.6823], [0.6890, 0.1154, 0.0000], [0.6890, 0.8846, 0.0000], [0.7500, 0.0000, 0.5000], [0.8110, 0.5000, 0.3846], [0.8110, 0.5000, 0.6154], [0.8177, 0.1823, 0.1823], [0.8177, 0.1823, 0.8177], [0.8177, 0.8177, 0.1823], [0.8177, 0.8177, 0.8177], [0.8846, 0.0000, 0.3110], [0.8846, 0.0000, 0.6890]],
  "formation_energy_uncorrected_ev_per_atom": 0.564,
  "mass_density_g_cm3": 3.34,
  "energy_ev_per_cell": -299.54,
  "space_group": "No. 223"
}

---

Record 2
{
  "formula": "CsCaNpF6",
  "functional": "PBE",
  "state": "optimized geometry",
  "cell": [[-4.1575, 4.2796, 6.0332], [4.1575, -4.2796, 6.0332], [4.1575, 4.2796, -6.0332]],
  "species": ["Cs", "Cs", "Ca", "Ca", "Np", "Np", "F", "F", "F", "F", "F", "F", "F", "F", "F", "F", "F", "F"],
  "frac_coords": [[0.3040, 0.0540, 0.2500], [0.6960, 0.9460, 0.7500], [0.0000, 0.0000, 0.5000], [0.0000, 0.5000, 0.0000], [0.0000, 0.5000, 0.5000], [0.5000, 0.5000, 0.0000], [0.0498, 0.4102, 0.2282], [0.0498, 0.8216, 0.6396], [0.0627, 0.8127, 0.2500], [0.3180, 0.1784, 0.7282], [0.3180, 0.5898, 0.1396], [0.3254, 0.5754, 0.7500], [0.6746, 0.4246, 0.2500], [0.6820, 0.4102, 0.8604], [0.6820, 0.8216, 0.2718], [0.9373, 0.1873, 0.7500], [0.9502, 0.1784, 0.3604], [0.9502, 0.5898, 0.7718]],
  "formation_energy_uncorrected_ev_per_atom": -3.420,
  "mass_density_g_cm3": 4.05,
  "energy_ev_per_cell": -115.61,
  "space_group": "No. 74"
}

---

Record 3
{
  "formula": "CaPuPN4",
  "functional": "PBE",
  "state": "optimized geometry",
  "cell": [[5.4459, 0.0000, 0.0000], [0.0000, 5.4355, 0.0000], [-1.8594, 0.0000, 6.4100]],
  "species": ["Ca", "Ca", "Pu", "Pu", "P", "P", "N", "N", "N", "N", "N", "N", "N", "N"],
  "frac_coords": [[0.2094, 0.2500, 0.4299], [0.7906, 0.7500, 0.5701], [0.2728, 0.2500, 0.9526], [0.7272, 0.7500, 0.0474], [0.2610, 0.7500, 0.1900], [0.7390, 0.2500, 0.8100], [0.0621, 0.7500, 0.3352], [0.0731, 0.7500, 0.9430], [0.4572, 0.5143, 0.2210], [0.4572, 0.9857, 0.2210], [0.5428, 0.0143, 0.7790], [0.5428, 0.4857, 0.7790], [0.9269, 0.2500, 0.0570], [0.9379, 0.2500, 0.6648]],
  "formation_energy_uncorrected_ev_per_atom": -0.820,
  "mass_density_g_cm3": 6.49,
  "energy_ev_per_cell": -121.57,
  "space_group": "No. 11"
}

---

Record 4
{
  "formula": "TlRe2Se",
  "functional": "PBE",
  "state": "optimized geometry",
  "cell": [[-2.1481, 2.1481, 8.9637], [2.1481, -2.1481, 8.9637], [2.1481, 2.1481, -8.9637]],
  "species": ["Tl", "Tl", "Re", "Re", "Re", "Re", "Se", "Se"],
  "frac_coords": [[0.0000, 0.0000, 0.0000], [0.7500, 0.2500, 0.5000], [0.2246, 0.6250, 0.0996], [0.3750, 0.4746, 0.5996], [0.5254, 0.1250, 0.9004], [0.8750, 0.7754, 0.4004], [0.2500, 0.7500, 0.5000], [0.5000, 0.5000, 0.0000]],
  "formation_energy_uncorrected_ev_per_atom": 0.940,
  "mass_density_g_cm3": 13.16,
  "e_above_lowest_polymorph_kj_per_mol_atoms": 53.9,
  "energy_ev_per_cell": -53.98,
  "space_group": "No. 122"
}